Here is an optimized crystal structure of LiCrTe2 from the Alexandria database. Energies are from GGA-PBE.

POSCAR file:
```
LiCrTe2
1.0
7.2614 0.0000 0.0000
0.0000 7.2614 0.0000
0.0000 0.0000 7.2614
Li Cr Te
4 4 8
direct
0.0000 0.0000 0.0000
0.0000 0.5000 0.5000
0.5000 0.0000 0.5000
0.5000 0.5000 0.0000
0.2500 0.2500 0.7500
0.2500 0.7500 0.2500
0.7500 0.2500 0.2500
0.7500 0.7500 0.7500
0.0000 0.0000 0.5000
0.0000 0.5000 0.0000
0.2500 0.2500 0.2500
0.2500 0.7500 0.7500
0.5000 0.0000 0.0000
0.5000 0.5000 0.5000
0.7500 0.2500 0.7500
0.7500 0.7500 0.2500
```

Computed properties:
E_tot ... -4.158 eV/atom